VASP calculation (PBE) on NaCdTe2 after structural relaxation.

The electronic total energy is -2.5629 eV/atom.

Unit cell a=6.821 b=6.821 c=6.821 alpha=105.81 beta=105.81 gamma=117.07
Atoms (fractional coordinates):
Na 0.000 0.000 0.000
Na 0.750 0.250 0.500
Cd 0.250 0.750 0.500
Cd 0.500 0.500 0.000
Te 0.151 0.625 0.026
Te 0.375 0.401 0.526
Te 0.599 0.125 0.974
Te 0.875 0.849 0.474


VASP calculation (PBE) on NaCdTe after structural relaxation.

As for the energy above the most stable polymorph in this dataset: 16.5 kJ/mol of atoms. The electronic total energy is -2.1727 eV/atom.

Unit cell a=8.108 b=8.108 c=8.108 alpha=39.29 beta=39.29 gamma=39.29
Atoms (fractional coordinates):
Na 0.114 0.114 0.114
Na 0.886 0.886 0.886
Cd 0.391 0.391 0.391
Cd 0.609 0.609 0.609
Te 0.255 0.255 0.255
Te 0.745 0.745 0.745


VASP calculation (PBE) on NaCd2Te2 after structural relaxation.

As for the energy above the most stable polymorph in this dataset: 2.3 kJ/mol of atoms. The electronic total energy is -2.1953 eV/atom.

Unit cell a=8.310 b=8.310 c=8.310 alpha=148.96 beta=148.96 gamma=44.47
Atoms (fractional coordinates):
Na 0.000 0.000 0.000
Cd 0.250 0.750 0.500
Cd 0.750 0.250 0.500
Te 0.390 0.390 0.000
Te 0.610 0.610 0.000


VASP calculation (PBE) on NaCdTe2 after structural relaxation.

The electronic total energy is -2.3742 eV/atom.

Unit cell a=9.651 b=9.651 c=9.651 alpha=25.26 beta=25.26 gamma=25.26
Atoms (fractional coordinates):
Na 0.000 0.000 0.000
Cd 0.500 0.500 0.500
Te 0.105 0.105 0.105
Te 0.895 0.895 0.895


VASP calculation (PBE) on NaCd2Te2 after structural relaxation.

As for the energy above the most stable polymorph in this dataset: 5.2 kJ/mol of atoms. The electronic total energy is -2.1654 eV/atom.

Unit cell a=6.276 b=6.276 c=6.276 alpha=126.06 beta=126.06 gamma=79.79
Atoms (fractional coordinates):
Na 0.000 0.000 0.000
Cd 0.352 0.352 0.000
Cd 0.648 0.648 0.000
Te 0.250 0.750 0.500
Te 0.750 0.250 0.500


VASP calculation (PBE) on NaCdTe2 after structural relaxation.

The electronic total energy is -2.2651 eV/atom.

Unit cell a=11.797 b=11.797 c=11.797 alpha=16.43 beta=16.43 gamma=16.43
Atoms (fractional coordinates):
Na 0.000 0.000 0.000
Cd 0.500 0.500 0.500
Te 0.406 0.406 0.406
Te 0.594 0.594 0.594


VASP calculation (PBE) on NaCdTe after structural relaxation.

As for the energy above the most stable polymorph in this dataset: 0.0 kJ/mol of atoms. The electronic total energy is -2.3435 eV/atom.

Unit cell a=4.621 b=6.106 c=7.154 alpha=73.68 beta=84.51 gamma=69.68
Atoms (fractional coordinates):
Na 0.083 0.257 0.286
Na 0.917 0.743 0.714
Cd 0.381 0.709 0.064
Cd 0.619 0.291 0.936
Te 0.205 0.164 0.724
Te 0.795 0.836 0.276


VASP calculation (PBE) on Na3CdTe2 after structural relaxation.

The electronic total energy is -2.4604 eV/atom.

Unit cell a=9.151 b=9.151 c=9.151 alpha=130.88 beta=70.59 gamma=132.68
Atoms (fractional coordinates):
Na 0.020 0.750 0.270
Na 0.250 0.250 0.000
Na 0.480 0.750 0.730
Na 0.520 0.250 0.270
Na 0.750 0.750 0.000
Na 0.980 0.250 0.730
Cd 0.000 0.500 0.500
Cd 0.500 0.000 0.500
Te 0.135 0.215 0.351
Te 0.365 0.715 0.080
Te 0.635 0.285 0.920
Te 0.865 0.785 0.649


| no. | uncorrected formation energy (eV per atom) |
| --- | --- |
| 1 | -0.434 |
| 2 | -0.381 |
| 3 | -0.309 |
| 4 | -0.245 |
| 5 | -0.279 |
| 6 | -0.136 |
| 7 | -0.552 |
| 8 | -0.601 |